Entry 1:
A relaxed Li2Cd4Pd3 crystal. Source: Alexandria, functional PBE.

Results
Energy relative to the elements: -0.389 eV per atom
Symmetry: No. 12

Structure (extended XYZ):
```
9
Lattice="4.347 -2.169 0.000 4.347 2.169 0.000 -1.690 0.000 8.264" Properties=species:S:1:pos:R:3 pbc="T T T"
Li 1.156 0.000 1.980
Li 5.849 0.000 6.285
Cd -0.101 0.000 7.372
Cd 3.100 0.000 5.488
Cd 3.905 0.000 2.777
Cd 7.106 0.000 0.892
Pd 0.471 0.000 4.616
Pd 4.347 0.000 0.000
Pd 6.534 0.000 3.648
```

Entry 2:
A relaxed K3CrIr crystal. Source: Alexandria, functional PBE.

Results
Energy relative to the elements: 1.209 eV per atom
Symmetry: No. 221

Structure (extended XYZ):
```
5
Lattice="6.119 0.000 0.000 0.000 6.119 0.000 0.000 0.000 6.119" Properties=species:S:1:pos:R:3 pbc="T T T"
K 0.000 0.000 3.060
K 0.000 3.060 0.000
K 3.060 0.000 0.000
Cr 3.060 3.060 3.060
Ir 0.000 0.000 0.000
```

Entry 3:
A relaxed TbHoScTl crystal. Source: Alexandria, functional PBE.

Results
Energy relative to the elements: -0.056 eV per atom
Symmetry: No. 216

Structure (extended XYZ):
```
4
Lattice="0.000 3.792 3.792 3.792 0.000 3.792 3.792 3.792 0.000" Properties=species:S:1:pos:R:3 pbc="T T T"
Tb 0.000 0.000 0.000
Ho 3.792 3.792 3.792
Sc 5.688 5.688 5.688
Tl 1.896 1.896 1.896
```

Entry 4:
A relaxed SrCdCo2 crystal. Source: Alexandria, functional PBE.

Results
Energy relative to the elements: 0.635 eV per atom
Symmetry: No. 119

Structure (extended XYZ):
```
4
Lattice="-2.241 2.241 3.948 2.241 -2.241 3.948 2.241 2.241 -3.948" Properties=species:S:1:pos:R:3 pbc="T T T"
Sr 0.000 0.000 0.000
Cd 2.241 0.000 1.974
Co 0.000 0.000 3.948
Co 0.000 2.241 1.974
```

Entry 5:
A relaxed TiSn2I crystal. Source: Alexandria, functional PBE.

Results
Uncorrected formation energy: 0.56 eV per atom
Symmetry: No. 225

Structure (extended XYZ):
```
4
Lattice="0.000 3.746 3.746 3.746 0.000 3.746 3.746 3.746 0.000" Properties=species:S:1:pos:R:3 pbc="T T T"
Ti 0.000 0.000 0.000
Sn 1.873 1.873 1.873
Sn 5.620 5.620 5.620
I 3.746 3.746 3.746
```

Entry 6:
A relaxed Nd2Te2Br crystal. Source: Alexandria, functional PBE.

Results
Uncorrected formation energy: -1.53 eV per atom
Symmetry: No. 12

Structure (extended XYZ):
```
10
Lattice="7.007 -3.141 0.000 7.007 3.141 0.000 -3.207 0.000 8.202" Properties=species:S:1:pos:R:3 pbc="T T T"
Nd -0.758 0.000 1.991
Nd 1.782 0.000 7.538
Nd 9.025 0.000 0.664
Nd 11.566 0.000 6.211
Te 2.173 0.000 0.877
Te 4.541 0.000 5.989
Te 6.266 0.000 2.213
Te 8.634 0.000 7.325
Br 0.254 0.000 4.876
Br 10.553 0.000 3.326
```

Entry 7:
A relaxed LaTb3Th2P6 crystal. Source: Alexandria, functional PBE.

Results
Energy relative to the elements: -1.596 eV per atom
Symmetry: No. 12

Structure (extended XYZ):
```
12
Lattice="8.938 -2.057 0.000 8.938 2.057 0.000 -1.837 0.000 7.989" Properties=species:S:1:pos:R:3 pbc="T T T"
La 0.000 0.000 0.000
Tb -0.918 0.000 3.994
Tb 5.672 0.000 1.332
Tb 10.367 0.000 6.657
Th 4.740 0.000 5.335
Th 11.299 0.000 2.654
P 1.888 0.000 4.680
P 2.890 0.000 0.660
P 8.456 0.000 2.070
P 7.583 0.000 5.919
P 13.149 0.000 7.329
P 14.151 0.000 3.308
```

Entry 8:
A relaxed HfSe crystal. Source: Alexandria, functional PBE.

Results
Uncorrected formation energy: -0.71 eV per atom
Symmetry: No. 186

Structure (extended XYZ):
```
4
Lattice="3.498 0.000 0.000 -1.749 3.029 0.000 0.000 0.000 8.733" Properties=species:S:1:pos:R:3 pbc="T T T"
Hf 0.000 2.019 0.000
Hf 1.749 1.010 4.367
Se 0.000 2.019 2.617
Se 1.749 1.010 6.984
```

Entry 9:
A relaxed Rb2AcInBr6 crystal. Source: Alexandria, functional PBE.

Results
Uncorrected formation energy: -1.66 eV per atom
Symmetry: No. 14

Structure (extended XYZ):
```
20
Lattice="8.240 0.000 0.000 0.000 8.791 0.000 -7.851 0.000 11.846" Properties=species:S:1:pos:R:3 pbc="T T T"
Rb -0.165 0.691 2.893
Rb -4.090 3.704 8.816
Rb 4.479 5.087 3.030
Rb 0.553 8.100 8.953
Ac 4.120 0.000 0.000
Ac 0.194 4.396 5.923
In -3.926 0.000 5.923
In 0.000 4.396 0.000
Br -6.202 1.628 11.146
Br -2.277 2.767 5.223
Br -5.224 6.265 11.000
Br -1.299 6.921 5.077
Br -2.749 0.461 9.001
Br 1.177 3.935 3.078
Br -0.789 4.857 8.768
Br 3.137 8.330 2.845
Br 1.687 1.870 6.769
Br 5.613 2.526 0.846
Br 2.665 6.024 6.623
Br 6.591 7.163 0.700
```

Entry 10:
A relaxed TbPm3Y2Se6 crystal. Source: Alexandria, functional PBE.

Results
Uncorrected formation energy: -1.81 eV per atom
Symmetry: No. 12

Structure (extended XYZ):
```
12
Lattice="3.562 -6.207 0.000 3.562 6.207 0.000 -2.390 0.000 6.819" Properties=species:S:1:pos:R:3 pbc="T T T"
Tb 0.000 0.000 0.000
Pm 2.367 4.140 3.410
Pm 2.367 0.000 3.410
Pm 2.367 -4.140 3.410
Y 3.562 2.068 0.000
Y 3.562 -2.068 0.000
Se 1.185 2.072 1.638
Se -0.007 0.000 5.182
Se 1.185 -2.072 1.638
Se 3.550 2.072 5.182
Se 4.742 0.000 1.637
Se 3.550 -2.072 5.182
```

Entry 11:
A relaxed Ca2Pa2Bi5 crystal. Source: Alexandria, functional PBE.

Results
Energy relative to the elements: -0.429 eV per atom
Symmetry: No. 64

Structure (extended XYZ):
```
18
Lattice="8.130 -4.175 0.000 8.130 4.175 0.000 0.000 0.000 8.448" Properties=species:S:1:pos:R:3 pbc="T T T"
Ca 3.294 0.000 0.000
Ca 4.836 0.000 4.224
Ca 11.425 0.000 4.224
Ca 12.966 0.000 0.000
Pa 8.130 2.994 5.434
Pa 8.130 1.181 1.211
Pa 8.130 -1.181 7.237
Pa 8.130 -2.994 3.013
Bi 0.000 0.000 0.000
Bi 5.987 2.850 2.907
Bi 5.987 1.325 7.131
Bi 10.274 2.850 2.907
Bi 10.274 1.325 7.131
Bi 8.130 0.000 4.224
Bi 5.987 -1.325 1.317
Bi 5.987 -2.850 5.541
Bi 10.274 -1.325 1.317
Bi 10.274 -2.850 5.541
```

Entry 12:
A relaxed TaAlRu2 crystal. Source: Alexandria, functional PBE.

Results
Energy relative to the elements: -0.340 eV per atom
Symmetry: No. 6

Structure (extended XYZ):
```
4
Lattice="2.893 0.000 0.000 0.000 4.022 0.000 -0.004 0.000 5.236" Properties=species:S:1:pos:R:3 pbc="T T T"
Ta 0.000 0.000 0.000
Al 1.448 2.011 3.702
Ru 0.006 0.000 2.733
Ru 1.456 2.011 1.125
```

Entry 13:
A relaxed Ce2MnNi crystal. Source: Alexandria, functional PBE.

Results
Energy relative to the elements: 0.029 eV per atom
Symmetry: No. 123

Structure (extended XYZ):
```
4
Lattice="3.318 0.000 0.000 0.000 3.318 0.000 0.000 0.000 6.986" Properties=species:S:1:pos:R:3 pbc="T T T"
Ce 0.000 0.000 1.688
Ce 0.000 0.000 5.298
Mn 1.659 1.659 0.000
Ni 1.659 1.659 3.493
```

Entry 14:
A relaxed AlBS crystal. Source: Alexandria, functional PBE.

Results
Uncorrected formation energy: -0.01 eV per atom
Symmetry: No. 1

Structure (extended XYZ):
```
6
Lattice="3.318 0.000 0.000 1.165 4.971 0.000 0.785 -0.058 5.535" Properties=species:S:1:pos:R:3 pbc="T T T"
Al 0.000 0.000 0.000
Al 1.910 3.410 3.449
B 3.590 4.560 4.158
B 3.207 1.543 1.514
S 1.531 2.717 1.203
S 3.023 1.294 3.438
```

Entry 15:
A relaxed Tm2GaBiO6 crystal. Source: Alexandria, functional PBE.

Results
Uncorrected formation energy: -2.27 eV per atom
Symmetry: No. 99

Structure (extended XYZ):
```
10
Lattice="5.269 0.000 0.000 0.000 5.269 0.000 0.000 0.000 5.423" Properties=species:S:1:pos:R:3 pbc="T T T"
Tm 0.000 2.634 0.000
Tm 2.634 0.000 0.000
Ga 0.000 0.000 3.347
Bi 2.634 2.634 3.096
O 0.000 0.000 1.485
O 1.249 1.249 4.224
O 1.249 4.019 4.224
O 2.634 2.634 0.811
O 4.019 1.249 4.224
O 4.019 4.019 4.224
```

Entry 16:
A relaxed Ba2Cd2Ge crystal. Source: Alexandria, functional PBE.

Results
Energy relative to the elements: -0.354 eV per atom
Symmetry: No. 12

Structure (extended XYZ):
```
10
Lattice="6.963 -2.391 0.000 6.963 2.391 0.000 -3.118 0.000 10.059" Properties=species:S:1:pos:R:3 pbc="T T T"
Ba 0.384 0.000 4.111
Ba 2.101 0.000 0.013
Ba 8.706 0.000 10.046
Ba 10.423 0.000 5.948
Cd 4.248 0.000 3.011
Cd 3.889 0.000 8.531
Cd 6.919 0.000 1.527
Cd 6.560 0.000 7.048
Ge 1.219 0.000 7.380
Ge 9.589 0.000 2.679
```

Entry 17:
A relaxed Hf9Sn2Pb crystal. Source: Alexandria, functional PBE.

Results
Energy relative to the elements: -0.167 eV per atom
Symmetry: No. 123

Structure (extended XYZ):
```
12
Lattice="4.439 0.000 0.000 0.000 4.439 0.000 0.000 0.000 13.343" Properties=species:S:1:pos:R:3 pbc="T T T"
Hf 0.000 0.000 0.000
Hf 0.000 0.000 4.471
Hf 0.000 0.000 8.871
Hf 0.000 2.220 2.280
Hf 0.000 2.220 6.671
Hf 0.000 2.220 11.062
Hf 2.220 0.000 2.280
Hf 2.220 0.000 6.671
Hf 2.220 0.000 11.062
Sn 2.220 2.220 4.461
Sn 2.220 2.220 8.882
Pb 2.220 2.220 0.000
```

Entry 18:
A relaxed FeOsRh3 crystal. Source: Alexandria, functional PBE.

Results
Energy relative to the elements: 0.019 eV per atom
Symmetry: No. 11

Structure (extended XYZ):
```
10
Lattice="5.993 0.000 0.000 0.000 3.812 0.000 -0.018 0.000 6.042" Properties=species:S:1:pos:R:3 pbc="T T T"
Fe 1.487 0.953 1.497
Fe 4.488 2.859 4.545
Os 0.834 2.859 5.738
Os 5.141 0.953 0.305
Rh 0.277 0.953 3.949
Rh 2.106 2.859 3.339
Rh 2.702 0.953 5.160
Rh 3.273 2.859 0.882
Rh 3.869 0.953 2.703
Rh 5.698 2.859 2.093
```

Entry 19:
A relaxed AcNd2Dy crystal. Source: Alexandria, functional PBE.

Results
Energy relative to the elements: 0.032 eV per atom
Symmetry: No. 123

Structure (extended XYZ):
```
4
Lattice="5.241 0.000 0.000 0.000 5.241 0.000 0.000 0.000 5.293" Properties=species:S:1:pos:R:3 pbc="T T T"
Ac 0.000 0.000 0.000
Nd 0.000 2.620 2.646
Nd 2.620 0.000 2.646
Dy 2.620 2.620 0.000
```

Entry 20:
A relaxed RbNd4Se6 crystal. Source: Alexandria, functional PBE.

Results
Uncorrected formation energy: -1.51 eV per atom
Symmetry: No. 121

Structure (extended XYZ):
```
11
Lattice="-4.120 4.120 5.125 4.120 -4.120 5.125 4.120 4.120 -5.125" Properties=species:S:1:pos:R:3 pbc="T T T"
Rb 0.000 0.000 0.000
Nd 1.592 -1.592 4.049
Nd 2.528 2.528 1.076
Nd -1.592 1.592 4.049
Nd 1.592 1.592 6.202
Se 4.120 0.000 0.000
Se 2.901 2.901 -1.880
Se 1.219 1.219 3.245
Se 0.000 4.120 0.000
Se 1.219 -1.219 7.005
Se -1.219 1.219 7.005
```

Entry 21:
A relaxed Ac2NpTlS6 crystal. Source: Alexandria, functional PBE.

Results
Uncorrected formation energy: -1.48 eV per atom
Symmetry: No. 146

Structure (extended XYZ):
```
10
Lattice="3.715 2.145 6.455 -3.715 2.145 6.455 0.000 -4.290 6.455" Properties=species:S:1:pos:R:3 pbc="T T T"
Ac 0.000 0.000 0.000
Ac 0.000 0.000 9.355
Np 0.000 0.000 15.409
Tl 0.000 0.000 5.321
S -1.460 -1.955 7.587
S -2.624 -0.452 10.632
S -0.963 2.242 7.587
S 1.704 -2.047 10.632
S 2.423 -0.287 7.587
S 0.921 2.499 10.632
```

Entry 22:
A relaxed IrRuAu2 crystal. Source: Alexandria, functional PBE.

Results
Energy relative to the elements: 0.609 eV per atom
Symmetry: No. 225

Structure (extended XYZ):
```
4
Lattice="0.000 3.187 3.187 3.187 0.000 3.187 3.187 3.187 0.000" Properties=species:S:1:pos:R:3 pbc="T T T"
Ir 0.000 0.000 0.000
Ru 3.187 3.187 3.187
Au 1.594 1.594 1.594
Au 4.781 4.781 4.781
```

Entry 23:
A relaxed ZrMnFePb2 crystal. Source: Alexandria, functional PBE.

Results
Energy relative to the elements: 0.833 eV per atom
Symmetry: No. 123

Structure (extended XYZ):
```
5
Lattice="5.028 0.000 0.000 0.000 5.028 0.000 0.000 0.000 4.525" Properties=species:S:1:pos:R:3 pbc="T T T"
Zr 0.000 0.000 0.000
Mn 2.514 2.514 2.263
Fe 2.514 2.514 0.000
Pb 0.000 2.514 2.263
Pb 2.514 0.000 2.263
```

Entry 24:
A relaxed Mn2BeCoH crystal. Source: Alexandria, functional PBE.

Results
Energy: -6.47 eV per atom
Symmetry: No. 123

Structure (extended XYZ):
```
5
Lattice="3.616 0.000 0.000 0.000 3.616 0.000 0.000 0.000 3.388" Properties=species:S:1:pos:R:3 pbc="T T T"
Mn 0.000 1.808 0.000
Mn 1.808 0.000 0.000
Be 0.000 0.000 1.694
Co 1.808 1.808 1.694
H 0.000 0.000 0.000
```

For each record above, in turn, the calculated magnetic moment values are 0.000, 1.064, 0.345, 0.762, 0.000, 0.000, 0.000, 0.000, 0.000, 0.000, 0.137, 0.000, 0.000, 0.000, 0.000, 0.000, 0.000, 0.565, 0.000, 0.000, 0.200, 0.285, 0.007, 1.020 μB per atom.